No. 1
Here is crystalline CsBiPO2 at its relaxed geometry from the Alexandria database. Energies are from GGA-PBE.

## Properties
The volume comes out at 127 Å³/cell. As for the size of the total moment: 0.00 μB per formula unit. The calculation puts the uncorrected energy at -0.121 hartree per atom. The uncorrected formation energy comes out at 0.723 eV/atom.

abc: 4.245 4.245 7.072
angles: 90.00 90.00 90.00
Fractional coordinates of all 5 atoms:
Cs (0.000, 0.000, 0.000)
Bi (0.500, 0.500, 0.500)
P (0.000, 0.000, 0.500)
O (0.000, 0.500, 0.000)
O (0.500, 0.000, 0.000)

***

No. 2
Here is crystalline Pa2Sb2HN at its relaxed geometry from the Alexandria database. Energies are from GGA-PBE.

## Properties
The volume comes out at 236 Å³/cell. As for the size of the total moment: 0.00 μB per formula unit. The calculation puts the uncorrected energy at -0.270 hartree per atom.

abc: 8.305 8.305 8.305
angles: 139.75 58.13 139.88
Fractional coordinates of all 12 atoms:
Pa (0.086, 0.227, 0.313)
Pa (0.414, 0.727, 0.141)
Pa (0.586, 0.273, 0.859)
Pa (0.914, 0.773, 0.687)
Sb (0.181, 0.732, 0.912)
Sb (0.319, 0.232, 0.551)
Sb (0.681, 0.768, 0.449)
Sb (0.819, 0.268, 0.088)
H (0.250, 0.750, 0.500)
H (0.750, 0.250, 0.500)
N (0.250, 0.250, 0.000)
N (0.750, 0.750, 0.000)

***

No. 3
Here is crystalline Np2B2PtRh5 at its relaxed geometry from the Alexandria database. Energies are from GGA-PBE.

## Properties
The volume comes out at 295 Å³/cell. As for the size of the total moment: 5.40 μB per formula unit. The calculation puts the uncorrected energy at -0.316 hartree per atom. The calculation puts the formation energy from the elements at -0.392 eV/atom.

abc: 9.329 9.329 3.388
angles: 90.00 90.00 90.00
Fractional coordinates of all 20 atoms:
Np (0.180, 0.320, 0.000)
Np (0.320, 0.820, 0.000)
Np (0.680, 0.180, 0.000)
Np (0.820, 0.680, 0.000)
B (0.120, 0.620, 0.000)
B (0.380, 0.120, 0.000)
B (0.620, 0.880, 0.000)
B (0.880, 0.380, 0.000)
Pt (0.000, 0.000, 0.000)
Pt (0.500, 0.500, 0.000)
Rh (0.000, 0.500, 0.500)
Rh (0.073, 0.778, 0.500)
Rh (0.222, 0.073, 0.500)
Rh (0.278, 0.573, 0.500)
Rh (0.427, 0.278, 0.500)
Rh (0.500, 0.000, 0.500)
Rh (0.573, 0.722, 0.500)
Rh (0.722, 0.427, 0.500)
Rh (0.778, 0.927, 0.500)
Rh (0.927, 0.222, 0.500)

***

No. 4
Here is crystalline Pm12Hg6C at its relaxed geometry from the Alexandria database. Energies are from GGA-PBE.

## Properties
The volume comes out at 576 Å³/cell. As for the size of the total moment: 0.00 μB per formula unit. The calculation puts the uncorrected energy at -0.141 hartree per atom. The calculation puts the formation energy from the elements at -0.269 eV/atom.

abc: 8.354 8.354 8.354
angles: 95.09 95.09 95.09
Fractional coordinates of all 19 atoms:
Pm (0.037, 0.920, 0.698)
Pm (0.080, 0.302, 0.963)
Pm (0.208, 0.422, 0.533)
Pm (0.302, 0.963, 0.080)
Pm (0.422, 0.533, 0.208)
Pm (0.467, 0.792, 0.578)
Pm (0.533, 0.208, 0.422)
Pm (0.578, 0.467, 0.792)
Pm (0.698, 0.037, 0.920)
Pm (0.792, 0.578, 0.467)
Pm (0.920, 0.698, 0.037)
Pm (0.963, 0.080, 0.302)
Hg (0.146, 0.755, 0.352)
Hg (0.245, 0.648, 0.854)
Hg (0.352, 0.146, 0.755)
Hg (0.648, 0.854, 0.245)
Hg (0.755, 0.352, 0.146)
Hg (0.854, 0.245, 0.648)
C (0.500, 0.500, 0.500)

***

No. 5
Here is crystalline Ti3GePt at its relaxed geometry from the Alexandria database. Energies are from GGA-PBE.

## Properties
The volume comes out at 109 Å³/cell. As for the size of the total moment: 0.00 μB per formula unit. The calculation puts the uncorrected energy at -0.243 hartree per atom. The calculation puts the energy above the most stable polymorph in this dataset at 643 meV/atom. The calculation puts the formation energy from the elements at 0.268 eV/atom.

abc: 4.779 4.779 4.779
angles: 90.00 90.00 90.00
Fractional coordinates of all 5 atoms:
Ti (0.000, 0.000, 0.500)
Ti (0.000, 0.500, 0.000)
Ti (0.500, 0.000, 0.000)
Ge (0.500, 0.500, 0.500)
Pt (0.000, 0.000, 0.000)

***

No. 6
Here is crystalline RbNbI3 at its relaxed geometry from the Alexandria database. Energies are from GGA-PBE.

## Properties
The volume comes out at 202 Å³/cell. As for the size of the total moment: 3.00 μB per formula unit. The calculation puts the uncorrected energy at -0.135 hartree per atom. The uncorrected formation energy comes out at -0.536 eV/atom. The calculation puts the energy above the most stable polymorph in this dataset at 0 meV/atom.

abc: 5.869 5.869 5.869
angles: 90.00 90.00 90.00
Fractional coordinates of all 5 atoms:
Rb (0.000, 0.000, 0.000)
Nb (0.500, 0.500, 0.500)
I (0.000, 0.500, 0.500)
I (0.500, 0.000, 0.500)
I (0.500, 0.500, 0.000)

***

No. 7
Here is crystalline TmPd14Au at its relaxed geometry from the Alexandria database. Energies are from GGA-PBE.

## Properties
The volume comes out at 256 Å³/cell. As for the size of the total moment: 0.00 μB per formula unit. The calculation puts the uncorrected energy at -0.193 hartree per atom. The calculation puts the formation energy from the elements at -0.227 eV/atom.

abc: 5.644 5.644 8.039
angles: 90.00 90.00 90.00
Fractional coordinates of all 16 atoms:
Tm (0.000, 0.000, 0.000)
Pd (0.000, 0.000, 0.500)
Pd (0.000, 0.500, 0.000)
Pd (0.000, 0.500, 0.500)
Pd (0.250, 0.250, 0.254)
Pd (0.250, 0.250, 0.746)
Pd (0.250, 0.750, 0.254)
Pd (0.250, 0.750, 0.746)
Pd (0.500, 0.000, 0.000)
Pd (0.500, 0.000, 0.500)
Pd (0.500, 0.500, 0.500)
Pd (0.750, 0.250, 0.254)
Pd (0.750, 0.250, 0.746)
Pd (0.750, 0.750, 0.254)
Pd (0.750, 0.750, 0.746)
Au (0.500, 0.500, 0.000)

***

No. 8
Here is crystalline BaSr6Ca10 at its relaxed geometry from the Alexandria database. Energies are from GGA-PBE.

## Properties
The volume comes out at 832 Å³/cell. As for the size of the total moment: 0.00 μB per formula unit. The calculation puts the uncorrected energy at -0.066 hartree per atom. The calculation puts the formation energy from the elements at 0.086 eV/atom.

abc: 11.103 11.103 7.793
angles: 90.00 90.00 120.00
Fractional coordinates of all 17 atoms:
Ba (0.000, 0.000, 0.000)
Sr (0.000, 0.351, 0.837)
Sr (0.000, 0.649, 0.163)
Sr (0.351, 0.000, 0.837)
Sr (0.351, 0.351, 0.163)
Sr (0.649, 0.000, 0.163)
Sr (0.649, 0.649, 0.837)
Ca (0.000, 0.316, 0.344)
Ca (0.000, 0.684, 0.656)
Ca (0.316, 0.000, 0.344)
Ca (0.316, 0.316, 0.656)
Ca (0.333, 0.667, 0.000)
Ca (0.333, 0.667, 0.500)
Ca (0.667, 0.333, 0.000)
Ca (0.667, 0.333, 0.500)
Ca (0.684, 0.000, 0.656)
Ca (0.684, 0.684, 0.344)

***

No. 9
Here is crystalline CePuAgAu at its relaxed geometry from the Alexandria database. Energies are from GGA-PBE.

## Properties
The volume comes out at 87 Å³/cell. As for the size of the total moment: 6.22 μB per formula unit. The calculation puts the uncorrected energy at -0.255 hartree per atom. The calculation puts the energy above the most stable polymorph in this dataset at 0 meV/atom. The calculation puts the formation energy from the elements at -0.342 eV/atom.

abc: 4.971 4.971 4.971
angles: 60.00 60.00 60.00
Fractional coordinates of all 4 atoms:
Ce (0.000, 0.000, 0.000)
Pu (0.750, 0.750, 0.750)
Ag (0.500, 0.500, 0.500)
Au (0.250, 0.250, 0.250)

***

No. 10
Here is crystalline MgCd6In3 at its relaxed geometry from the Alexandria database. Energies are from GGA-PBE.

## Properties
The volume comes out at 482 Å³/cell. As for the size of the total moment: 0.00 μB per formula unit. The calculation puts the uncorrected energy at -0.056 hartree per atom. The calculation puts the energy above the most stable polymorph in this dataset at 0 meV/atom. The calculation puts the formation energy from the elements at 0.008 eV/atom.

abc: 11.478 3.263 13.078
angles: 90.00 100.19 90.00
Fractional coordinates of all 20 atoms:
Mg (0.114, 0.250, 0.230)
Mg (0.886, 0.750, 0.770)
Cd (0.019, 0.750, 0.405)
Cd (0.118, 0.750, 0.026)
Cd (0.214, 0.750, 0.620)
Cd (0.346, 0.750, 0.197)
Cd (0.363, 0.250, 0.004)
Cd (0.481, 0.750, 0.603)
Cd (0.519, 0.250, 0.397)
Cd (0.637, 0.750, 0.996)
Cd (0.654, 0.250, 0.803)
Cd (0.786, 0.250, 0.380)
Cd (0.882, 0.250, 0.974)
Cd (0.981, 0.250, 0.595)
In (0.137, 0.250, 0.818)
In (0.284, 0.750, 0.409)
In (0.404, 0.750, 0.814)
In (0.596, 0.250, 0.186)
In (0.716, 0.250, 0.591)
In (0.863, 0.750, 0.182)

***

No. 11
Here is crystalline KCo4Te at its relaxed geometry from the Alexandria database. Energies are from GGA-PBE.

## Properties
The volume comes out at 96 Å³/cell. As for the size of the total moment: 7.03 μB per formula unit. The calculation puts the uncorrected energy at -0.178 hartree per atom. The uncorrected formation energy comes out at 0.596 eV/atom.

abc: 5.144 5.144 5.144
angles: 60.00 60.00 60.00
Fractional coordinates of all 6 atoms:
K (0.000, 0.000, 0.000)
Co (0.375, 0.375, 0.375)
Co (0.375, 0.375, 0.874)
Co (0.375, 0.874, 0.375)
Co (0.874, 0.375, 0.375)
Te (0.750, 0.750, 0.750)

***

No. 12
Here is crystalline CsKAsAu at its relaxed geometry from the Alexandria database. Energies are from GGA-PBE.

## Properties
The volume comes out at 155 Å³/cell. As for the size of the total moment: 0.00 μB per formula unit. The calculation puts the uncorrected energy at -0.106 hartree per atom. The calculation puts the formation energy from the elements at -0.403 eV/atom.

abc: 6.644 6.644 6.644
angles: 138.25 126.12 70.39
Fractional coordinates of all 4 atoms:
Cs (0.000, 0.000, 0.000)
K (0.340, 0.340, 0.000)
As (0.647, 0.647, 0.000)
Au (0.714, 0.214, 0.500)